Entry 1:
Below is an optimized crystal structure of RbFeIr, with properties calculated at the PBE level.

Polymorph energy (0 for the lowest one) ... 0.0176 eV/atom
Formation enthalpy at 0 K ... 1.2 eV per formula unit
Crystal system ... triclinic

```
data_RbFeIr
_symmetry_space_group_name_H-M 'P -1'
_symmetry_Int_Tables_number 2
_symmetry_space_group_name_Hall '-P 1'
_cell_length_a 4.084
_cell_length_b 4.619
_cell_length_c 11.447
_cell_angle_alpha 97.90
_cell_angle_beta 91.10
_cell_angle_gamma 116.15
loop_
_atom_site_label
_atom_site_fract_x
_atom_site_fract_y
_atom_site_fract_z
_atom_site_occupancy
Rb1 0.164 0.356 0.203 1
Fe1 0.080 0.148 0.589 1
Ir1 0.349 0.697 0.514 1
```

---

Entry 2:
Below is an optimized crystal structure of Rb3FeIr, with properties calculated at the PBE level.

Polymorph energy (0 for the lowest one) ... 0.0000 eV/atom
Formation enthalpy at 0 K ... 6.6 eV per formula unit
Crystal system ... cubic

```
data_Rb3FeIr
_symmetry_space_group_name_H-M 'P m -3 m'
_symmetry_Int_Tables_number 221
_symmetry_space_group_name_Hall '-P 4 2 3'
_cell_length_a 6.339
_cell_length_b 6.339
_cell_length_c 6.339
_cell_angle_alpha 90.00
_cell_angle_beta 90.00
_cell_angle_gamma 90.00
loop_
_atom_site_label
_atom_site_fract_x
_atom_site_fract_y
_atom_site_fract_z
_atom_site_occupancy
Rb1 0.000 0.000 0.500 1
Fe1 0.500 0.500 0.500 1
Ir1 0.000 0.000 0.000 1
```

---

Entry 3:
Below is an optimized crystal structure of RbFeIr, with properties calculated at the PBE level.

Polymorph energy (0 for the lowest one) ... 0.9722 eV/atom
Formation enthalpy at 0 K ... 4.1 eV per formula unit
Crystal system ... hexagonal

```
data_RbFeIr
_symmetry_space_group_name_H-M 'P -6 m 2'
_symmetry_Int_Tables_number 187
_symmetry_space_group_name_Hall 'P -6 2'
_cell_length_a 4.6145
_cell_length_b 4.6145
_cell_length_c 7.9893
_cell_angle_alpha 90.00
_cell_angle_beta 90.00
_cell_angle_gamma 120.00
loop_
_atom_site_label
_atom_site_fract_x
_atom_site_fract_y
_atom_site_fract_z
_atom_site_occupancy
Rb1 0.0000 0.0000 0.0000 1
Rb2 0.0000 0.0000 0.5000 1
Fe1 0.6667 0.3333 0.1332 1
Ir1 0.3333 0.6667 0.1558 1
```